Record 1
First-principles (PBE) data for a relaxed structure of Tm2Mg2Ga3, as listed in Alexandria.

The total energy comes out at -3.292 eV per atom. For the formation energy from the elements, the calculation gives -0.262 eV per atom.

It has space group C2/m (No. 12), with a = 11.1820 Å, b = 4.8121 Å, c = 6.4763 Å, α = 90.00°, β = 113.20° and γ = 90.00°. The inequivalent atoms are Tm at (0.0623, 0.0000, 0.2944), Mg at (0.1382, 0.5000, 0.6994), Ga at (0.0000, 0.5000, 0.0000) and Ga at (0.2335, 0.5000, 0.2671).

***

Record 2
First-principles (PBE) data for a relaxed structure of NaTi2BiO6, as listed in Alexandria.

The formation energy from raw total energies is -2.420 eV/atom. The total energy comes out at -7.494 eV per atom. For the excess energy over the best structure of this formula in the dataset, the calculation gives 0 meV per atom.

It has space group C2/c (No. 15), with a = 11.0331 Å, b = 9.9697 Å, c = 6.2362 Å, α = 90.00°, β = 111.22° and γ = 90.00°. The inequivalent atoms are Na at (0.0000, 0.2177, 0.2500), Ti at (0.1979, 0.0868, 0.7325), Bi at (0.0000, 0.3987, 0.7500), O at (0.1231, 0.2493, 0.6657), O at (0.1254, 0.3994, 0.1497) and O at (0.1462, 0.0014, 0.4479).

***

Record 3
First-principles (PBE) data for a relaxed structure of PaTc3B3, as listed in Alexandria.

The total energy comes out at -8.926 eV per atom. For the formation energy from the elements, the calculation gives -0.265 eV per atom.

It has space group P2_1/m (No. 11), with a = 7.0471 Å, b = 4.0679 Å, c = 7.2080 Å, α = 90.00°, β = 116.75° and γ = 90.00°. The inequivalent atoms are Pa at (0.0922, 0.2500, 0.3609), Tc at (0.1768, 0.2500, 0.0263), Tc at (0.3621, 0.7500, 0.8591), Tc at (0.4681, 0.7500, 0.3295), B at (0.1579, 0.7500, 0.1122), B at (0.2453, 0.2500, 0.7705) and B at (0.4093, 0.7500, 0.5919).

***

Record 4
First-principles (PBE) data for a relaxed structure of HfTiIn2, as listed in Alexandria.

The total energy comes out at -5.831 eV per atom. For the formation energy from the elements, the calculation gives 0.000 eV per atom. For the excess energy over the best structure of this formula in the dataset, the calculation gives 148 meV per atom.

It has space group Pnma (No. 62), with a = 9.9743 Å, b = 3.0417 Å, c = 11.2537 Å, α = 90.00°, β = 90.00° and γ = 90.00°. The inequivalent atoms are Hf at (0.0214, 0.2500, 0.1312), Ti at (0.0139, 0.7500, 0.3898), In at (0.2285, 0.2500, 0.7563) and In at (0.2459, 0.2500, 0.4949).

***

Record 5
First-principles (PBE) data for a relaxed structure of AgPbF2, as listed in Alexandria.

The formation energy from raw total energies is -1.199 eV/atom. The total energy comes out at -3.774 eV per atom. For the excess energy over the best structure of this formula in the dataset, the calculation gives 17 meV per atom.

It has space group R-3m (No. 166, hexagonal axes), with a = 3.3572 Å, b = 3.3572 Å, c = 24.2966 Å, α = 90.00°, β = 90.00° and γ = 120.00°. The inequivalent atoms are Ag at (0.0000, 0.0000, 0.0000), Pb at (0.0000, 0.0000, 0.5000) and F at (0.0000, 0.0000, 0.0876).

***

Record 6
First-principles (PBE) data for a relaxed structure of SrPmGa2Pt2, as listed in Alexandria.

The total energy comes out at -5.038 eV per atom. For the formation energy from the elements, the calculation gives -0.943 eV per atom.

It has space group P-3m1 (No. 164), with a = 4.4642 Å, b = 4.4642 Å, c = 7.9867 Å, α = 90.00°, β = 90.00° and γ = 120.00°. The inequivalent atoms are Sr at (0.0000, 0.0000, 0.0000), Pm at (0.0000, 0.0000, 0.5000), Ga at (0.3333, 0.6667, 0.7285) and Pt at (0.3333, 0.6667, 0.2823).